P) Here is TbSc2Ta after structural relaxation from Alexandria. Energies are from GGA-PBE.

magnetization = 0.000 μB per atom
space-group type = R-3m (166)

Cell and atoms, written as POSCAR:
```
TbSc2Ta
1.0
-0.667 1.633 -2.662
-3.020 0.786 -0.676
-0.028 10.044 4.254
Sc Tb Ta
2 1 1
Cartesian
-0.961 2.869 0.086
-2.754 9.594 0.831
-1.858 6.231 0.458
0.000 0.000 0.000
```

Q) Here is TbSc2Ta after structural relaxation from Alexandria. Energies are from GGA-PBE.

magnetization = 0.000 μB per atom
space-group type = P4/mmm (123)

Cell and atoms, written as POSCAR:
```
TbSc2Ta
1.0
3.699 0.000 0.000
0.000 3.699 0.000
0.000 0.000 6.981
Sc Tb Ta
2 1 1
Cartesian
0.000 0.000 5.534
0.000 0.000 1.447
1.850 1.850 3.491
1.850 1.850 0.000
```

Quick one: most stable of them? P)

P) Here is ScTa2Tc after structural relaxation from Alexandria. Energies are from GGA-PBE.

magnetization = 0.000 μB per atom
space-group type = P2/m (10)

Cell and atoms, written as POSCAR:
```
ScTa2Tc
1.0
-1.298 -0.321 -4.387
1.603 -2.448 -0.295
-3.530 -3.914 1.331
Sc Ta Tc
1 2 1
Cartesian
-2.095 -4.932 -1.417
0.013 -0.170 0.009
-0.976 -3.012 0.509
-1.131 -1.751 -1.935
```

Q) Here is ScTa2Tc after structural relaxation from Alexandria. Energies are from GGA-PBE.

magnetization = 0.000 μB per atom
space-group type = Cmm2 (35)

Cell and atoms, written as POSCAR:
```
ScTa2Tc
1.0
-2.555 -0.314 -1.367
1.711 -2.332 -0.355
-3.570 -3.766 7.538
Sc Ta Tc
1 2 1
Cartesian
-3.022 -4.067 4.630
-0.048 -0.051 0.102
-1.375 -2.329 1.152
-1.753 -1.849 3.701
```

R) Here is ScTa2Tc after structural relaxation from Alexandria. Energies are from GGA-PBE.

magnetization = 0.000 μB per atom
space-group type = Immm (71)

Cell and atoms, written as POSCAR:
```
ScTa2Tc
1.0
-1.768 0.064 5.237
2.211 -3.652 3.511
0.982 4.211 -3.443
Sc Ta Tc
1 2 1
Cartesian
1.707 -0.618 2.221
0.432 -3.503 8.538
0.232 -1.880 4.583
-0.282 1.240 3.084
```

Quick one: most stable of them? R)